Eu2YHg: relaxed, GGA-PBE.

abc: 3.6420 3.6420 36.0654
angles: 90.00 90.00 120.00
Closest atoms and distances in Å follow each position.
Space group R-3m (No. 166, hexagonal axes)
One atom of each set of equivalent atoms:
Eu 0.0000 0.0000 0.0958 [6 per cell]  3 Hg 3.31, 1 Y 3.45, 6 Eu 3.64
Y 0.0000 0.0000 0.0000 [3 per cell]  2 Eu 3.45, 6 Y 3.64
Hg 0.0000 0.0000 0.5000 [3 per cell]  6 Eu 3.31, 6 Hg 3.64

Values from the calculation:
DFT total energy: -0.498 Ry/atom
Magnetic moment: 15.5 μB/f.u.
Energy of formation from the pure elements: 0.054 eV per atom
DOS at the Fermi energy: 18.0 states/eV per cell



Eu2YHg: relaxed, GGA-PBE.

abc: 4.9642 4.9642 5.0537
angles: 90.00 90.00 90.00
Closest atoms and distances in Å follow each position.
Space group P4/mmm (No. 123)
One atom of each set of equivalent atoms:
Eu 0.0000 0.5000 0.0000 [2 per cell]  4 Eu 3.51, 4 Hg 3.54, 4 Y 3.54
Y 0.0000 0.0000 0.5000 [1 per cell]  4 Hg 3.51, 8 Eu 3.54
Hg 0.5000 0.5000 0.5000 [1 per cell]  4 Y 3.51, 8 Eu 3.54

Values from the calculation:
DFT total energy: -0.510 Ry/atom
Magnetic moment: 15.1 μB/f.u.
Energy of formation from the pure elements: -0.111 eV per atom
DOS at the Fermi energy: 4.8 states/eV per cell



Eu2YHg: relaxed, GGA-PBE.

abc: 3.8068 3.8068 9.2029
angles: 90.00 90.00 90.00
Closest atoms and distances in Å follow each position.
Space group P4/mmm (No. 123)
One atom of each set of equivalent atoms:
Eu 0.0000 0.0000 0.2132 [2 per cell]  4 Hg 3.33
Y 0.5000 0.5000 0.5000 [1 per cell]  8 Eu 3.77, 4 Y 3.81
Hg 0.5000 0.5000 0.0000 [1 per cell]  8 Eu 3.33

Values from the calculation:
DFT total energy: -0.516 Ry/atom
Magnetic moment: 15.5 μB/f.u.
Energy of formation from the pure elements: -0.196 eV per atom
DOS at the Fermi energy: 3.9 states/eV per cell



EuY2Hg: relaxed, GGA-PBE.

abc: 3.6846 3.6846 9.2161
angles: 90.00 90.00 90.00
Closest atoms and distances in Å follow each position.
Space group P4/mmm (No. 123)
One atom of each set of equivalent atoms:
Eu 0.0000 0.0000 0.0000 [1 per cell]  4 Eu 3.68, 8 Y 3.77
Y 0.5000 0.5000 0.2951 [2 per cell]  4 Hg 3.22
Hg 0.0000 0.0000 0.5000 [1 per cell]  8 Y 3.22

Values from the calculation:
DFT total energy: -0.445 Ry/atom
Magnetic moment: 8.5 μB/f.u.
Energy of formation from the pure elements: -0.179 eV per atom
DOS at the Fermi energy: 5.4 states/eV per cell



EuYHg2: relaxed, GGA-PBE.

abc: 3.8013 3.8013 7.6419
angles: 90.00 90.00 90.00
Closest atoms and distances in Å follow each position.
Space group P4/mmm (No. 123)
One atom of each set of equivalent atoms:
Eu 0.0000 0.0000 0.0000 [1 per cell]  8 Hg 3.39, 4 Eu 3.80
Y 0.0000 0.0000 0.5000 [1 per cell]  8 Hg 3.21
Hg 0.5000 0.5000 0.2714 [2 per cell]  4 Y 3.21, 4 Eu 3.39, 1 Hg 3.49

Values from the calculation:
DFT total energy: -0.357 Ry/atom
Magnetic moment: 7.1 μB/f.u.
Energy of formation from the pure elements: -0.522 eV per atom
DOS at the Fermi energy: 9.6 states/eV per cell



EuY2Hg: relaxed, GGA-PBE.

abc: 4.9324 4.9324 4.8057
angles: 90.00 90.00 90.00
Closest atoms and distances in Å follow each position.
Space group P4/mmm (No. 123)
One atom of each set of equivalent atoms:
Eu 0.0000 0.0000 0.0000 [1 per cell]  8 Y 3.44, 4 Hg 3.49
Y 0.0000 0.5000 0.5000 [2 per cell]  4 Hg 3.44, 4 Eu 3.44, 4 Y 3.49
Hg 0.5000 0.5000 0.0000 [1 per cell]  8 Y 3.44, 4 Eu 3.49

Values from the calculation:
DFT total energy: -0.441 Ry/atom
Magnetic moment: 7.2 μB/f.u.
Energy of formation from the pure elements: -0.119 eV per atom
DOS at the Fermi energy: 4.5 states/eV per cell